Record 1
CaDy3Ho4S8 (GGA-PBE, optimized geometry); space group = R-3m, No. 166; calculated total energy = -6.189 eV/atom
1.0
-1.896 -4.320 6.226
7.338 -2.641 0.403
-1.392 7.686 0.009
Ca Dy Ho S
1 3 4 8
direct
0.000 0.500 0.000
0.500 0.500 0.000
0.500 0.500 0.500
0.000 0.500 0.500
0.500 0.000 0.000
0.500 0.000 0.500
0.000 0.000 0.000
0.000 0.000 0.500
0.251 0.753 0.001
0.251 0.753 0.502
0.249 0.248 0.499
0.750 0.753 0.001
0.250 0.247 0.999
0.751 0.752 0.501
0.749 0.247 0.498
0.749 0.247 0.999

Record 2
K2YFe (GGA-PBE, optimized geometry); formation energy from the elements = 1.021 eV per atom; distance to the lowest polymorph of the same formula = 519 meV per atom; space group = Pmmm, No. 47
1.0
3.572 0.000 0.000
0.000 6.348 0.000
0.000 0.000 6.268
Fe K Y
1 2 1
direct
0.500 0.500 0.750
0.000 0.000 0.988
0.000 0.000 0.512
0.500 0.500 0.250

Record 3
NdDy5Pd2 (GGA-PBE, optimized geometry); formation energy from the elements = -0.369 eV per atom; space group = Cmcm, No. 63
1.0
-2.089 -1.340 2.944
6.454 -0.830 1.684
0.135 16.472 7.597
Nd Dy Pd
2 10 4
direct
0.649 0.298 0.750
0.351 0.702 0.250
0.947 0.893 0.898
0.947 0.893 0.602
0.346 0.691 0.457
0.346 0.691 0.043
0.616 0.232 0.250
0.384 0.768 0.750
0.654 0.309 0.543
0.654 0.309 0.957
0.053 0.107 0.102
0.053 0.107 0.398
0.742 0.485 0.374
0.742 0.485 0.126
0.258 0.515 0.626
0.258 0.515 0.874

no.,total magnetic moment (μB/f.u.)
1,0.0
2,2.3
3,0.0